# Zr4Ga7Co4

Crystalline Zr4Ga7Co4 at its relaxed geometry (PBE, the Alexandria database).

a = 9.8054 Å, b = 9.8054 Å, c = 9.8054 Å
α = 94.13°, β = 94.13°, γ = 148.88°
With the nearest neighbours (Å) after each atom.
Fractional positions:
Zr 0.0000 0.1950 0.1950  7 Ga 2.76-2.98
Zr 0.0000 0.8050 0.8050  7 Ga 2.76-2.98
Zr 0.1950 0.0000 0.1950  7 Ga 2.76-2.98
Zr 0.3588 0.3588 0.7177  7 Ga 2.84-2.97, 4 Co 3.08
Zr 0.3588 0.6412 0.0000  7 Ga 2.84-2.97, 4 Co 3.08
Zr 0.6412 0.3588 0.0000  7 Ga 2.84-2.97, 4 Co 3.08
Zr 0.6412 0.6412 0.2823  7 Ga 2.84-2.97, 4 Co 3.08
Zr 0.8050 0.0000 0.8050  7 Ga 2.76-2.98
Ga 0.0000 0.4018 0.4018  4 Co 2.50, 1 Ga 2.62, 1 Zr 2.76
Ga 0.0000 0.5982 0.5982  4 Co 2.50, 1 Ga 2.62, 1 Zr 2.76
Ga 0.2000 0.5000 0.7000  4 Co 2.49
Ga 0.2066 0.2066 0.4133  4 Co 2.43
Ga 0.2066 0.7934 0.0000  4 Co 2.43
Ga 0.2515 0.2515 0.0000  2 Ga 2.61-2.65, 4 Zr 2.92
Ga 0.4018 0.0000 0.4018  4 Co 2.50, 1 Ga 2.62, 1 Zr 2.76
Ga 0.5000 0.2000 0.7000  4 Co 2.49
Ga 0.5000 0.8000 0.3000  4 Co 2.49
Ga 0.5982 0.0000 0.5982  4 Co 2.50, 1 Ga 2.62, 1 Zr 2.76
Ga 0.7485 0.7485 0.0000  2 Ga 2.61-2.65, 4 Zr 2.92
Ga 0.7934 0.2066 0.0000  4 Co 2.43
Ga 0.7934 0.7934 0.5867  4 Co 2.43
Ga 0.8000 0.5000 0.3000  4 Co 2.49
Co 0.0993 0.5993 0.1987  6 Ga 2.43-2.50, 2 Co 2.63
Co 0.0993 0.9007 0.5000  6 Ga 2.43-2.50, 2 Co 2.63
Co 0.4007 0.5993 0.5000  6 Ga 2.43-2.50, 2 Co 2.63
Co 0.4007 0.9007 0.8013  6 Ga 2.43-2.50, 2 Co 2.63
Co 0.5993 0.0993 0.1987  6 Ga 2.43-2.50, 2 Co 2.63
Co 0.5993 0.4007 0.5000  6 Ga 2.43-2.50, 2 Co 2.63
Co 0.9007 0.0993 0.5000  6 Ga 2.43-2.50, 2 Co 2.63
Co 0.9007 0.4007 0.8013  6 Ga 2.43-2.50, 2 Co 2.63

Values from the calculation:
Energy relative to the elements in eV/atom: -0.52



# Zr2GaCo

Crystalline Zr2GaCo at its relaxed geometry (PBE, the Alexandria database).

a = 3.1918 Å, b = 3.1918 Å, c = 6.9758 Å
α = 90.00°, β = 90.00°, γ = 90.00°
With the nearest neighbours (Å) after each atom.
Fractional positions:
Zr 0.0000 0.0000 0.2322  4 Co 2.78, 4 Ga 2.93
Zr 0.0000 0.0000 0.7678  4 Co 2.78, 4 Ga 2.93
Ga 0.5000 0.5000 0.5000  8 Zr 2.93, 4 Ga 3.19
Co 0.5000 0.5000 0.0000  8 Zr 2.78

Values from the calculation:
Energy relative to the elements in eV/atom: -0.36



# ZrGa3Co4

Crystalline ZrGa3Co4 at its relaxed geometry (PBE, the Alexandria database).

a = 7.2567 Å, b = 7.2567 Å, c = 7.2567 Å
α = 33.56°, β = 33.56°, γ = 33.56°
With the nearest neighbours (Å) after each atom.
Fractional positions:
Zr 0.0000 0.0000 0.0000  8 Co 2.61-2.63
Ga 0.2505 0.2505 0.2505  8 Co 2.51-2.68
Ga 0.5000 0.5000 0.5000  8 Co 2.44-2.54
Ga 0.7495 0.7495 0.7495  8 Co 2.51-2.68
Co 0.1283 0.1283 0.1283  7 Ga 2.51-2.59, 1 Zr 2.63
Co 0.3813 0.3813 0.3813  5 Ga 2.44-2.68, 3 Zr 2.61
Co 0.6187 0.6187 0.6187  5 Ga 2.44-2.68, 3 Zr 2.61
Co 0.8717 0.8717 0.8717  7 Ga 2.51-2.59, 1 Zr 2.63

Values from the calculation:
Energy relative to the elements in eV/atom: -0.34



# ZrGaCo

Crystalline ZrGaCo at its relaxed geometry (PBE, the Alexandria database).

a = 6.9404 Å, b = 6.9404 Å, c = 3.3797 Å
α = 90.00°, β = 90.00°, γ = 120.00°
With the nearest neighbours (Å) after each atom.
Fractional positions:
Zr 0.0000 0.5965 0.0000  5 Co 2.71-2.80, 6 Ga 2.88-2.98
Zr 0.4035 0.4035 0.0000  5 Co 2.71-2.80, 6 Ga 2.88-2.98
Zr 0.5965 0.0000 0.0000  5 Co 2.71-2.80, 6 Ga 2.88-2.98
Ga 0.0000 0.2611 0.5000  4 Co 2.48-2.60
Ga 0.2611 0.0000 0.5000  4 Co 2.48-2.60
Ga 0.7389 0.7389 0.5000  4 Co 2.48-2.60
Co 0.0000 0.0000 0.0000  6 Ga 2.48
Co 0.3333 0.6667 0.5000  3 Ga 2.60, 6 Zr 2.71
Co 0.6667 0.3333 0.5000  3 Ga 2.60, 6 Zr 2.71

Values from the calculation:
Energy relative to the elements in eV/atom: -0.55